Run P
The following is a DFT calculation (GGA-PBE) of a relaxed LiPrNb crystal.

The structure belongs to space group F-43m (No. 216); the cell edges are 6.8391, 6.8391 and 6.8391 Å and the angles 90.00°, 90.00° and 90.00°. The asymmetric unit holds Li at (0.0000, 0.0000, 0.0000), Pr at (0.2500, 0.2500, 0.2500) and Nb at (0.0000, 0.0000, 0.5000).

The value obtained for the calculated volume is 319.88 Å³/cell. The theoretical density is 5.0 Mg/m³. The value obtained for the total magnetic moment is 1.8 μB per formula unit. The crystal system is cubic.

***

Run Q
The following is a DFT calculation (GGA-PBE) of a relaxed LiPrNb crystal.

The structure belongs to space group F-43m (No. 216); the cell edges are 6.8434, 6.8434 and 6.8434 Å and the angles 90.00°, 90.00° and 90.00°. The asymmetric unit holds Li at (0.0000, 0.0000, 0.0000), Pr at (0.0000, 0.0000, 0.5000) and Nb at (0.2500, 0.2500, 0.2500).

The value obtained for the calculated volume is 320.49 Å³/cell. The theoretical density is 5.0 Mg/m³. The value obtained for the total magnetic moment is 1.9 μB per formula unit. The crystal system is cubic.

***

Here is how they stack up, most stable first: run Q, run P.

***

Run P
The following is a DFT calculation (GGA-PBE) of a relaxed SrLiNbPt crystal.

The structure belongs to space group F-43m (No. 216); the cell edges are 6.9741, 6.9741 and 6.9741 Å and the angles 90.00°, 90.00° and 90.00°. The asymmetric unit holds Sr at (0.0000, 0.0000, 0.0000), Li at (0.0000, 0.0000, 0.5000), Nb at (0.2500, 0.2500, 0.2500) and Pt at (0.2500, 0.2500, 0.7500).

The value obtained for the calculated volume is 339.21 Å³/cell. The theoretical density is 7.5 Mg/m³. The value obtained for the total magnetic moment is 3.4 μB per formula unit. The crystal system is cubic.

***

Run Q
The following is a DFT calculation (GGA-PBE) of a relaxed SrLiNbPt crystal.

The structure belongs to space group F-43m (No. 216); the cell edges are 6.6934, 6.6934 and 6.6934 Å and the angles 90.00°, 90.00° and 90.00°. The asymmetric unit holds Sr at (0.0000, 0.0000, 0.0000), Li at (0.2500, 0.2500, 0.2500), Nb at (0.2500, 0.2500, 0.7500) and Pt at (0.0000, 0.0000, 0.5000).

The value obtained for the calculated volume is 299.87 Å³/cell. The theoretical density is 8.5 Mg/m³. The value obtained for the total magnetic moment is 0.0 μB per formula unit. The crystal system is cubic.

***

Run R
The following is a DFT calculation (GGA-PBE) of a relaxed SrLiNbPt crystal.

The structure belongs to space group F-43m (No. 216); the cell edges are 6.9125, 6.9125 and 6.9125 Å and the angles 90.00°, 90.00° and 90.00°. The asymmetric unit holds Sr at (0.0000, 0.0000, 0.0000), Li at (0.2500, 0.2500, 0.2500), Nb at (0.0000, 0.0000, 0.5000) and Pt at (0.2500, 0.2500, 0.7500).

The value obtained for the calculated volume is 330.30 Å³/cell. The theoretical density is 7.7 Mg/m³. The value obtained for the total magnetic moment is 1.3 μB per formula unit. The crystal system is cubic.

***

Here is how they stack up, most stable first: run Q, run R, run P.

***

Run P
The following is a DFT calculation (GGA-PBE) of a relaxed LiNbTcSb crystal.

The structure belongs to space group F-43m (No. 216); the cell edges are 6.3586, 6.3586 and 6.3586 Å and the angles 90.00°, 90.00° and 90.00°. The asymmetric unit holds Li at (0.0000, 0.0000, 0.0000), Nb at (0.2500, 0.2500, 0.2500), Tc at (0.0000, 0.0000, 0.5000) and Sb at (0.2500, 0.2500, 0.7500).

The value obtained for the calculated volume is 257.09 Å³/cell. The theoretical density is 8.3 Mg/m³. The value obtained for the total magnetic moment is 0.0 μB per formula unit. The crystal system is cubic.

***

Run Q
The following is a DFT calculation (GGA-PBE) of a relaxed LiNbTcSb crystal.

The structure belongs to space group F-43m (No. 216); the cell edges are 6.4059, 6.4059 and 6.4059 Å and the angles 90.00°, 90.00° and 90.00°. The asymmetric unit holds Li at (0.0000, 0.0000, 0.0000), Nb at (0.2500, 0.2500, 0.7500), Tc at (0.2500, 0.2500, 0.2500) and Sb at (0.0000, 0.0000, 0.5000).

The value obtained for the calculated volume is 262.87 Å³/cell. The theoretical density is 8.1 Mg/m³. The value obtained for the total magnetic moment is 0.4 μB per formula unit. The crystal system is cubic.

***

Here is how they stack up, most stable first: run P, run Q.

***

Run P
The following is a DFT calculation (GGA-PBE) of a relaxed SrLiNb crystal.

The structure belongs to space group F-43m (No. 216); the cell edges are 7.5368, 7.5368 and 7.5368 Å and the angles 90.00°, 90.00° and 90.00°. The asymmetric unit holds Sr at (0.0000, 0.0000, 0.0000), Li at (0.2500, 0.2500, 0.7500) and Nb at (0.2500, 0.2500, 0.2500).

The value obtained for the calculated volume is 428.12 Å³/cell. The theoretical density is 2.9 Mg/m³. The value obtained for the total magnetic moment is 4.5 μB per formula unit. The crystal system is cubic.

***

Run Q
The following is a DFT calculation (GGA-PBE) of a relaxed SrLiNb crystal.

The structure belongs to space group F-43m (No. 216); the cell edges are 7.4642, 7.4642 and 7.4642 Å and the angles 90.00°, 90.00° and 90.00°. The asymmetric unit holds Sr at (0.0000, 0.0000, 0.0000), Li at (0.0000, 0.0000, 0.5000) and Nb at (0.2500, 0.2500, 0.2500).

The value obtained for the calculated volume is 415.86 Å³/cell. The theoretical density is 3.0 Mg/m³. The value obtained for the total magnetic moment is 4.4 μB per formula unit. The crystal system is cubic.

***

Here is how they stack up, most stable first: run Q, run P.

***

Run P
The following is a DFT calculation (GGA-PBE) of a relaxed LiNbTl crystal.

The structure belongs to space group F-43m (No. 216); the cell edges are 6.5344, 6.5344 and 6.5344 Å and the angles 90.00°, 90.00° and 90.00°. The asymmetric unit holds Li at (0.0000, 0.0000, 0.0000), Nb at (0.2500, 0.2500, 0.7500) and Tl at (0.0000, 0.0000, 0.5000).

The value obtained for the calculated volume is 279.00 Å³/cell. The theoretical density is 7.2 Mg/m³. The value obtained for the total magnetic moment is 0.8 μB per formula unit. The crystal system is cubic.

***

Run Q
The following is a DFT calculation (GGA-PBE) of a relaxed LiNbTl crystal.

The structure belongs to space group F-43m (No. 216); the cell edges are 6.1100, 6.1100 and 6.1100 Å and the angles 90.00°, 90.00° and 90.00°. The asymmetric unit holds Li at (0.0000, 0.0000, 0.0000), Nb at (0.2500, 0.2500, 0.7500) and Tl at (0.2500, 0.2500, 0.2500).

The value obtained for the calculated volume is 228.10 Å³/cell. The theoretical density is 8.9 Mg/m³. The value obtained for the total magnetic moment is 0.6 μB per formula unit. The crystal system is cubic.

***

Here is how they stack up, most stable first: run Q, run P.

***

Run P
The following is a DFT calculation (GGA-PBE) of a relaxed LiUNb crystal.

The structure belongs to space group P4/mmm (No. 123); the cell edges are 3.8205, 3.8205 and 4.9074 Å and the angles 90.00°, 90.00° and 90.00°. The asymmetric unit holds Li at (0.0000, 0.0000, 0.0000), U at (0.5000, 0.5000, 0.0000) and Nb at (0.5000, 0.5000, 0.5000).

The value obtained for the calculated volume is 71.63 Å³/cell. The theoretical density is 7.8 Mg/m³. The value obtained for the total magnetic moment is 1.9 μB per formula unit. The crystal system is tetragonal.

***

Run Q
The following is a DFT calculation (GGA-PBE) of a relaxed LiUNb crystal.

The structure belongs to space group F-43m (No. 216); the cell edges are 6.2267, 6.2267 and 6.2267 Å and the angles 90.00°, 90.00° and 90.00°. The asymmetric unit holds Li at (0.0000, 0.0000, 0.0000), U at (0.2500, 0.2500, 0.2500) and Nb at (0.0000, 0.0000, 0.5000).

The value obtained for the calculated volume is 241.42 Å³/cell. The theoretical density is 9.3 Mg/m³. The value obtained for the total magnetic moment is 0.0 μB per formula unit. The crystal system is cubic.

***

Here is how they stack up, most stable first: run Q, run P.

***

Run P
The following is a DFT calculation (GGA-PBE) of a relaxed LiYNb crystal.

The structure belongs to space group F-43m (No. 216); the cell edges are 6.8104, 6.8104 and 6.8104 Å and the angles 90.00°, 90.00° and 90.00°. The asymmetric unit holds Li at (0.0000, 0.0000, 0.0000), Y at (0.0000, 0.0000, 0.5000) and Nb at (0.2500, 0.2500, 0.2500).

The value obtained for the calculated volume is 315.88 Å³/cell. The theoretical density is 4.0 Mg/m³. The value obtained for the total magnetic moment is 2.8 μB per formula unit. The crystal system is cubic.

***

Run Q
The following is a DFT calculation (GGA-PBE) of a relaxed LiYNb crystal.

The structure belongs to space group F-43m (No. 216); the cell edges are 6.8830, 6.8830 and 6.8830 Å and the angles 90.00°, 90.00° and 90.00°. The asymmetric unit holds Li at (0.0000, 0.0000, 0.0000), Y at (0.2500, 0.2500, 0.2500) and Nb at (0.0000, 0.0000, 0.5000).

The value obtained for the calculated volume is 326.08 Å³/cell. The theoretical density is 3.8 Mg/m³. The value obtained for the total magnetic moment is 3.2 μB per formula unit. The crystal system is cubic.

***

Here is how they stack up, most stable first: run P, run Q.

***

Run P
The following is a DFT calculation (GGA-PBE) of a relaxed Li2Nd crystal.

The structure belongs to space group Fd-3m (No. 227, origin choice 2); the cell edges are 8.2690, 8.2690 and 8.2690 Å and the angles 90.00°, 90.00° and 90.00°. The asymmetric unit holds Li at (0.0000, 0.0000, 0.0000) and Nd at (0.1250, 0.1250, 0.6250).

The value obtained for the calculated volume is 565.41 Å³/cell. The theoretical density is 3.7 Mg/m³. The value obtained for the total magnetic moment is 0.0 μB per formula unit. The crystal system is cubic.

***

Run Q
The following is a DFT calculation (GGA-PBE) of a relaxed Li2Nd crystal.

The structure belongs to space group Fm-3m (No. 225); the cell edges are 7.0456, 7.0456 and 7.0456 Å and the angles 90.00°, 90.00° and 90.00°. The asymmetric unit holds Li at (0.2500, 0.2500, 0.2500) and Nd at (0.0000, 0.0000, 0.0000).

The value obtained for the calculated volume is 349.74 Å³/cell. The theoretical density is 3.0 Mg/m³. The value obtained for the total magnetic moment is 1.7 μB per formula unit. The crystal system is cubic.

***

Here is how they stack up, most stable first: run P, run Q.